1.
The following is a PBE calculation of crystalline Ac4IN3 at its relaxed geometry, from Alexandria.

uncorrected formation energy: -105 kJ per mole of atoms
M_tot: 0.6 μB per formula unit
symmetry: P6_3/mmc (194)
electronic total energy: -6.460 eV per atom

Unit cell a=3.9371 b=3.9371 c=29.4849 alpha=90.00 beta=90.00 gamma=120.00
Closest atoms and distances in Å follow each position.
Sites, in units of the cell vectors:
Ac  0.0000  0.0000  0.1566  3 N 2.61
Ac  0.0000  0.0000  0.3434  3 N 2.61
Ac  0.0000  0.0000  0.6566  3 N 2.61
Ac  0.0000  0.0000  0.8434  3 N 2.61
Ac  0.3333  0.6667  0.0522  6 N 2.75-2.90
Ac  0.3333  0.6667  0.4478  6 N 2.75-2.90
Ac  0.6667  0.3333  0.5522  6 N 2.75-2.90
Ac  0.6667  0.3333  0.9478  6 N 2.75-2.90
I  0.3333  0.6667  0.2500  6 Ac 3.57, 6 I 3.94
I  0.6667  0.3333  0.7500  6 Ac 3.57, 6 I 3.94
N  0.0000  0.0000  0.0000  6 Ac 2.75
N  0.0000  0.0000  0.5000  6 Ac 2.75
N  0.3333  0.6667  0.6134  6 Ac 2.61-2.90
N  0.3333  0.6667  0.8866  6 Ac 2.61-2.90
N  0.6667  0.3333  0.1134  6 Ac 2.61-2.90
N  0.6667  0.3333  0.3866  6 Ac 2.61-2.90

2.
The following is a PBE calculation of crystalline AcI4N2 at its relaxed geometry, from Alexandria.

uncorrected formation energy: 0 kJ per mole of atoms
M_tot: 0.0 μB per formula unit
symmetry: P-1 (2)
electronic total energy: -3.854 eV per atom

Unit cell a=4.8810 b=7.5759 c=7.8840 alpha=70.88 beta=84.77 gamma=82.47
Closest atoms and distances in Å follow each position.
Sites, in units of the cell vectors:
Ac  0.0000  0.0000  0.0000  2 N 2.52
I  0.1690  0.3911  0.1879  1 N 1.94
I  0.4921  0.8077  0.2938  2 Ac 3.34-3.37
I  0.5079  0.1923  0.7062  2 Ac 3.34-3.37
I  0.8310  0.6089  0.8121  1 N 1.94
N  0.0885  0.6924  0.9357  1 I 1.94
N  0.9115  0.3076  0.0643  1 I 1.94

3.
The following is a PBE calculation of crystalline Ac4I2N3 at its relaxed geometry, from Alexandria.

uncorrected formation energy: -95 kJ per mole of atoms
M_tot: 0.9 μB per formula unit
symmetry: Fddd (70)
electronic total energy: -5.932 eV per atom

Unit cell a=15.7747 b=15.0620 c=6.6111 alpha=83.74 beta=71.64 gamma=24.62
Closest atoms and distances in Å follow each position.
Sites, in units of the cell vectors:
Ac  0.0139  0.3447  0.9032  3 N 2.46-2.51
Ac  0.0968  0.7618  0.9861  3 N 2.46-2.51
Ac  0.2382  0.9032  0.3447  3 N 2.46-2.51
Ac  0.3447  0.0139  0.2382  3 N 2.46-2.51
Ac  0.6553  0.9861  0.7618  3 N 2.46-2.51
Ac  0.7618  0.0968  0.6553  3 N 2.46-2.51
Ac  0.9032  0.2382  0.0139  3 N 2.46-2.51
Ac  0.9861  0.6553  0.0968  3 N 2.46-2.51
I  0.2888  0.2888  0.4612  8 Ac 3.74-3.94, 2 I 4.02, 6 N 4.15-4.18
I  0.4612  0.4612  0.2888  8 Ac 3.74-3.94, 2 I 4.02, 6 N 4.15-4.18
I  0.5388  0.5388  0.7112  8 Ac 3.74-3.94, 2 I 4.02, 6 N 4.15-4.18
I  0.7112  0.7112  0.5388  8 Ac 3.74-3.94, 2 I 4.02, 6 N 4.15-4.18
N  0.1250  0.1250  0.1250  4 Ac 2.49
N  0.1259  0.1259  0.6241  4 Ac 2.46-2.51
N  0.3759  0.3759  0.8741  4 Ac 2.46-2.51
N  0.6241  0.6241  0.1259  4 Ac 2.46-2.51
N  0.8741  0.8741  0.3759  4 Ac 2.46-2.51
N  0.8750  0.8750  0.8750  4 Ac 2.49

4.
The following is a PBE calculation of crystalline Ac4I2N at its relaxed geometry, from Alexandria.

uncorrected formation energy: -58 kJ per mole of atoms
M_tot: 0.0 μB per formula unit
symmetry: I4/mmm (139)
electronic total energy: -4.585 eV per atom

Unit cell a=5.6569 b=5.6569 c=15.7743 alpha=90.00 beta=90.00 gamma=90.00
Closest atoms and distances in Å follow each position.
Sites, in units of the cell vectors:
Ac  0.0000  0.0000  0.1590  1 N 2.51
Ac  0.0000  0.0000  0.8410  1 N 2.51
Ac  0.0000  0.5000  0.0000  2 N 2.83
Ac  0.0000  0.5000  0.5000  2 N 2.83
Ac  0.5000  0.0000  0.0000  2 N 2.83
Ac  0.5000  0.0000  0.5000  2 N 2.83
Ac  0.5000  0.5000  0.3410  1 N 2.51
Ac  0.5000  0.5000  0.6590  1 N 2.51
I  0.0000  0.0000  0.3803  5 Ac 3.40-3.49, 1 I 3.78
I  0.0000  0.0000  0.6197  5 Ac 3.40-3.49, 1 I 3.78
I  0.5000  0.5000  0.1197  5 Ac 3.40-3.49, 1 I 3.78
I  0.5000  0.5000  0.8803  5 Ac 3.40-3.49, 1 I 3.78
N  0.0000  0.0000  0.0000  2 Ac 2.51
N  0.5000  0.5000  0.5000  2 Ac 2.51

5.
The following is a PBE calculation of crystalline Ac3I3N at its relaxed geometry, from Alexandria.

uncorrected formation energy: -116 kJ per mole of atoms
M_tot: 0.0 μB per formula unit
symmetry: P2_1/m (11)
electronic total energy: -4.821 eV per atom

Unit cell a=9.4271 b=4.1701 c=12.5628 alpha=90.00 beta=93.40 gamma=90.00
Closest atoms and distances in Å follow each position.
Sites, in units of the cell vectors:
Ac  0.0870  0.2500  0.3997  3 N 2.70-2.85
Ac  0.1145  0.2500  0.8233  1 N 2.62
Ac  0.3025  0.7500  0.6169  2 N 2.71
Ac  0.6975  0.2500  0.3831  2 N 2.71
Ac  0.8855  0.7500  0.1767  1 N 2.62
Ac  0.9130  0.7500  0.6003  3 N 2.70-2.85
I  0.1519  0.2500  0.1202  4 Ac 3.37-3.73
I  0.3856  0.7500  0.8783  3 Ac 3.33-3.34
I  0.3865  0.7500  0.3599  5 Ac 3.37-3.60
I  0.6135  0.2500  0.6401  5 Ac 3.37-3.60
I  0.6144  0.2500  0.1217  3 Ac 3.33-3.34
I  0.8481  0.7500  0.8798  4 Ac 3.37-3.73
N  0.1190  0.2500  0.6146  6 Ac 2.62-2.85
N  0.8810  0.7500  0.3854  6 Ac 2.62-2.85

6.
The following is a PBE calculation of crystalline Ac4IN2 at its relaxed geometry, from Alexandria.

uncorrected formation energy: -82 kJ per mole of atoms
M_tot: 0.0 μB per formula unit
symmetry: P1 (1)
electronic total energy: -5.799 eV per atom

Unit cell a=8.0441 b=8.7029 c=8.7424 alpha=62.74 beta=76.93 gamma=62.61
Closest atoms and distances in Å follow each position.
Sites, in units of the cell vectors:
Ac  0.0000  0.0000  0.0000  1 N 2.33
Ac  0.0036  0.4930  0.0789  3 N 2.48-2.52
Ac  0.1153  0.5433  0.4506  1 N 2.43
Ac  0.3452  0.0969  0.4359  1 N 2.44
Ac  0.4660  0.4941  0.0806  3 N 2.48-2.53
Ac  0.4762  0.0725  0.9750  1 N 2.33
Ac  0.6248  0.5251  0.4709  2 N 2.57
Ac  0.8359  0.0967  0.4662  2 N 2.57-2.58
I  0.2231  0.7128  0.6935  6 Ac 3.46-3.56, 2 N 3.67-3.86
I  0.7126  0.7150  0.7205  6 Ac 3.50-3.69
N  0.1315  0.6705  0.1387  4 Ac 2.33-2.48
N  0.3371  0.2671  0.1233  4 Ac 2.33-2.48
N  0.4934  0.3433  0.4044  5 Ac 2.53-2.79
N  0.9670  0.3407  0.4014  5 Ac 2.52-2.78

7.
The following is a PBE calculation of crystalline Ac2IN at its relaxed geometry, from Alexandria.

uncorrected formation energy: -41 kJ per mole of atoms
M_tot: 0.0 μB per formula unit
symmetry: P4/mmm (123)
offset from the most stable computed form: 0.6670 eV per atom
electronic total energy: -4.944 eV per atom

Unit cell a=3.5972 b=3.5972 c=8.0075 alpha=90.00 beta=90.00 gamma=90.00
Closest atoms and distances in Å follow each position.
Sites, in units of the cell vectors:
Ac  0.0000  0.0000  0.2022  4 N 3.02, 1 Ac 3.24
Ac  0.0000  0.0000  0.7978  4 N 3.02, 1 Ac 3.24
I  0.5000  0.5000  0.5000  8 Ac 3.49, 4 I 3.60
N  0.5000  0.5000  0.0000  8 Ac 3.02

8.
The following is a PBE calculation of crystalline Ac4I5N2 at its relaxed geometry, from Alexandria.

uncorrected formation energy: -116 kJ per mole of atoms
M_tot: 0.0 μB per formula unit
symmetry: Immm (71)
offset from the most stable computed form: 0.1982 eV per atom
electronic total energy: -4.916 eV per atom

Unit cell a=11.1285 b=11.1285 c=11.1285 alpha=158.61 beta=130.91 gamma=54.13
Closest atoms and distances in Å follow each position.
Sites, in units of the cell vectors:
Ac  0.1561  0.1561  0.0000  1 N 2.40
Ac  0.1919  0.5000  0.6919  4 N 2.81
Ac  0.8081  0.5000  0.3081  4 N 2.81
Ac  0.8439  0.8439  0.0000  1 N 2.40
I  0.1264  0.3355  0.7908  3 Ac 3.39
I  0.4553  0.6645  0.7908  3 Ac 3.39
I  0.5000  0.0000  0.5000  4 Ac 3.52
I  0.5447  0.3355  0.2092  3 Ac 3.39
I  0.8736  0.6645  0.2092  3 Ac 3.39
N  0.0350  0.0350  0.0000  1 N 1.39
N  0.9650  0.9650  0.0000  1 N 1.39

9.
The following is a PBE calculation of crystalline Ac2I2N at its relaxed geometry, from Alexandria.

uncorrected formation energy: -136 kJ per mole of atoms
M_tot: 0.0 μB per formula unit
symmetry: C2/m (12)
offset from the most stable computed form: 0.0000 eV per atom
electronic total energy: -5.343 eV per atom

Unit cell a=8.0254 b=8.0254 c=13.1320 alpha=124.73 beta=124.73 gamma=30.18
Closest atoms and distances in Å follow each position.
Sites, in units of the cell vectors:
Ac  0.1246  0.1246  0.4320  3 N 2.48-2.50
Ac  0.3512  0.3512  0.8144  1 N 2.35
Ac  0.6488  0.6488  0.1856  1 N 2.35
Ac  0.8754  0.8754  0.5680  3 N 2.48-2.50
I  0.0712  0.0712  0.9155  5 Ac 3.52-3.70
I  0.3705  0.3705  0.3261  4 Ac 3.48-3.77
I  0.6295  0.6295  0.6739  4 Ac 3.48-3.77
I  0.9288  0.9288  0.0845  5 Ac 3.52-3.70
N  0.3159  0.3159  0.6142  4 Ac 2.35-2.50
N  0.6841  0.6841  0.3858  4 Ac 2.35-2.50

10.
The following is a PBE calculation of crystalline Ac4I3N2 at its relaxed geometry, from Alexandria.

uncorrected formation energy: -109 kJ per mole of atoms
M_tot: 0.0 μB per formula unit
symmetry: C2/m (12)
offset from the most stable computed form: 0.0581 eV per atom
electronic total energy: -5.323 eV per atom

Unit cell a=8.4464 b=8.4464 c=9.6370 alpha=105.88 beta=105.88 gamma=26.42
Closest atoms and distances in Å follow each position.
Sites, in units of the cell vectors:
Ac  0.0937  0.0937  0.2250  2 N 2.54
Ac  0.3132  0.3132  0.4013  3 N 2.62-2.72
Ac  0.6868  0.6868  0.5987  3 N 2.62-2.72
Ac  0.9063  0.9063  0.7750  2 N 2.54
I  0.0000  0.0000  0.5000  6 Ac 3.42-3.53
I  0.4004  0.4004  0.0885  5 Ac 3.61-3.69, 2 I 3.86, 1 N 3.88
I  0.5996  0.5996  0.9115  5 Ac 3.61-3.69, 2 I 3.86, 1 N 3.88
N  0.3076  0.3076  0.6708  5 Ac 2.54-2.72
N  0.6924  0.6924  0.3292  5 Ac 2.54-2.72